DFT (PBE) results for Pm3MnRh8 after structural relaxation.

The calculation puts the total magnetization at 0.383 μB per atom. Its calculated formation energy is -489 meV per atom.

The space group is R3m (No. 160, hexagonal axes) and the conventional cell measures 5.3365, 5.3365 and 26.1941 Å, with angles of 90.00, 90.00 and 120.00 degrees. The asymmetric unit holds Pm at (0.0000, 0.0000, 0.0000), Pm at (0.0000, 0.0000, 0.1284), Pm at (0.0000, 0.0000, 0.5103), Mn at (0.0000, 0.0000, 0.6345), Rh at (0.0000, 0.0000, 0.3161), Rh at (0.0000, 0.0000, 0.8164), Rh at (0.9997, 0.4998, 0.5679) and Rh at (0.1673, 0.3346, 0.3982).